1.
Here is an optimized crystal structure of ReNi2GeP from the Alexandria database. Energies are from PBE.

The structure belongs to space group P4/mmm (No. 123); the cell edges are 4.5395, 4.5395 and 4.7575 Å and the angles 90.00°, 90.00° and 90.00°. The distinct sites, in fractional coordinates, are Re at (0.0000, 0.0000, 0.0000), Ni at (0.0000, 0.5000, 0.0000), Ge at (0.0000, 0.0000, 0.5000) and P at (0.5000, 0.5000, 0.5000).

Its final energy is -27.2 eV for the cell shown. As for the magnetic moment: 0.00 Bohr magnetons per cell. The energy of formation is 6.8 eV/f.u.

=====

2.
Here is an optimized crystal structure of CaZnRe2 from the Alexandria database. Energies are from PBE.

The structure belongs to space group Cmm2 (No. 35); the cell edges are 3.2294, 4.4977 and 9.4540 Å and the angles 90.00°, 90.00° and 90.00°. The distinct sites, in fractional coordinates, are Ca at (0.0000, 0.0000, 0.0000), Zn at (0.0000, 0.5000, 0.7277), Re at (0.0000, 0.0000, 0.4919) and Re at (0.0000, 0.5000, 0.2712).

Its final energy is -52.4 eV for the cell shown. As for the magnetic moment: 0.00 Bohr magnetons per cell. The energy of formation is 2.0 eV/f.u.

=====

3.
Here is an optimized crystal structure of BaZn3Pt from the Alexandria database. Energies are from PBE.

The structure belongs to space group Amm2 (No. 38); the cell edges are 6.4461, 6.4260 and 10.6989 Å and the angles 90.00°, 90.00° and 90.00°. The distinct sites, in fractional coordinates, are Ba at (0.0000, 0.0000, 0.0000), Ba at (0.5000, 0.0000, 0.4995), Zn at (0.0000, 0.0000, 0.6191), Zn at (0.2500, 0.2493, 0.7564), Zn at (0.5000, 0.0000, 0.1199), Pt at (0.0000, 0.0000, 0.3777) and Pt at (0.5000, 0.0000, 0.8786).

Its final energy is -55.6 eV for the cell shown. As for the magnetic moment: 0.00 Bohr magnetons per cell. The energy of formation is -2.1 eV/f.u.

=====

4.
Here is an optimized crystal structure of TlHgBr2 from the Alexandria database. Energies are from PBE.

The structure belongs to space group P4mm (No. 99); the cell edges are 4.6204, 4.6204 and 6.4690 Å and the angles 90.00°, 90.00° and 90.00°. The distinct sites, in fractional coordinates, are Tl at (0.0000, 0.0000, 0.0000), Hg at (0.5000, 0.5000, 0.4999), Br at (0.0000, 0.0000, 0.5002) and Br at (0.5000, 0.5000, 0.0017).

Its uncorrected formation energy is -479 meV/atom. Its final energy is -7.9 eV for the cell shown. As for the magnetic moment: 0.00 Bohr magnetons per cell.

=====

5.
Here is an optimized crystal structure of Sb2CSeI from the Alexandria database. Energies are from PBE.

The structure belongs to space group P4/mmm (No. 123); the cell edges are 5.5089, 5.5089 and 5.7246 Å and the angles 90.00°, 90.00° and 90.00°. The distinct sites, in fractional coordinates, are Sb at (0.0000, 0.5000, 0.0000), C at (0.0000, 0.0000, 0.5000), Se at (0.5000, 0.5000, 0.0000) and I at (0.5000, 0.5000, 0.5000).

Its uncorrected formation energy is 1948 meV/atom. Its final energy is -12.8 eV for the cell shown. As for the magnetic moment: 0.75 Bohr magnetons per cell.

=====

6.
Here is an optimized crystal structure of TePtCF2 from the Alexandria database. Energies are from PBE.

The structure belongs to space group P4/mmm (No. 123); the cell edges are 4.1456, 4.1456 and 5.1595 Å and the angles 90.00°, 90.00° and 90.00°. The distinct sites, in fractional coordinates, are Te at (0.0000, 0.0000, 0.0000), Pt at (0.0000, 0.0000, 0.5000), C at (0.5000, 0.5000, 0.5000) and F at (0.0000, 0.5000, 0.0000).

Its uncorrected formation energy is 544 meV/atom. Its final energy is -19.4 eV for the cell shown. As for the magnetic moment: 1.34 Bohr magnetons per cell.

=====

Copy entry 5 word for word.
Here is an optimized crystal structure of Sb2CSeI from the Alexandria database. Energies are from PBE.

The structure belongs to space group P4/mmm (No. 123); the cell edges are 5.5089, 5.5089 and 5.7246 Å and the angles 90.00°, 90.00° and 90.00°. The distinct sites, in fractional coordinates, are Sb at (0.0000, 0.5000, 0.0000), C at (0.0000, 0.0000, 0.5000), Se at (0.5000, 0.5000, 0.0000) and I at (0.5000, 0.5000, 0.5000).

Its uncorrected formation energy is 1948 meV/atom. Its final energy is -12.8 eV for the cell shown. As for the magnetic moment: 0.75 Bohr magnetons per cell.